No. 1
DFT (meta-GGA SCAN) results for Ba3CrO5 at its PBEsol-relaxed geometry.

Unit cell a=7.2499 b=7.7686 c=7.2499 alpha=62.19 beta=90.00 gamma=117.81
Each line ends with the local moment (μB).
Sites, in units of the cell vectors:
Ba 0.2500 0.5000 0.7500  0.00
Ba 0.7500 0.5000 0.2500  0.00
Ba 0.8216 0.0000 0.6784  0.01
Ba 0.1784 0.0000 0.3216  0.01
Ba 0.6784 0.0000 0.1784  0.01
Ba 0.3216 0.0000 0.8216  0.01
Cr 0.2500 0.5000 0.2500  1.77
Cr 0.7500 0.5000 0.7500  1.77
O 0.5000 0.0000 0.5000  0.01
O 0.0000 0.0000 0.0000  0.01
O 0.0213 0.3142 0.2071  0.03
O 0.7071 0.6858 0.5213  0.03
O 0.9787 0.6858 0.7929  0.03
O 0.4787 0.6858 0.0213  0.03
O 0.2071 0.6858 0.2929  0.03
O 0.5213 0.3142 0.9787  0.03
O 0.7929 0.3142 0.7071  0.03
O 0.2929 0.3142 0.4787  0.03

## Properties
Final energy: -21.48 eV per atom
Theoretical density: 5.888 g/cm³
Magnetic moment: 0.22 μB per atom

---

No. 2
DFT (meta-GGA SCAN) results for Zr2ReNi at its PBEsol-relaxed geometry.

Unit cell a=3.2624 b=3.2624 c=6.3015 alpha=90.00 beta=90.00 gamma=90.00
Sites, in units of the cell vectors:
Re 0.5000 0.5000 0.5000
Zr 0.0000 0.0000 0.7510
Zr 0.0000 0.0000 0.2490
Ni 0.5000 0.5000 0.0000

## Properties
Final energy: -37.59 eV per atom
Theoretical density: 10.581 g/cm³
Magnetic moment: 0.00 μB per atom

---

No. 3
DFT (meta-GGA SCAN) results for Ca2AuSe at its PBEsol-relaxed geometry.

Unit cell a=3.6103 b=3.6103 c=7.0115 alpha=90.00 beta=90.00 gamma=90.00
Sites, in units of the cell vectors:
Ca 0.0000 0.0000 0.2537
Ca 0.0000 0.0000 0.7463
Au 0.5000 0.5000 0.0000
Se 0.5000 0.5000 0.5000

## Properties
Final energy: -28.57 eV per atom
Theoretical density: 6.470 g/cm³
Magnetic moment: 0.00 μB per atom

---

No. 4
DFT (meta-GGA SCAN) results for Cs2InI6O18 at its PBEsol-relaxed geometry.

Unit cell a=7.7884 b=7.7882 c=7.7881 alpha=97.81 beta=97.81 gamma=97.81
Sites, in units of the cell vectors:
Cs 0.1602 0.6602 0.1602
Cs 0.8398 0.3398 0.8398
In 0.5000 0.0000 0.5000
I 0.6968 0.8395 0.1191
I 0.3032 0.1605 0.8809
I 0.3395 0.6191 0.6968
I 0.6605 0.3809 0.3032
I 0.1191 0.1968 0.3395
I 0.8809 0.8032 0.6605
O 0.5362 0.8317 0.2720
O 0.4638 0.1683 0.7280
O 0.8939 0.9120 0.2870
O 0.1061 0.0880 0.7130
O 0.6966 0.6040 0.0894
O 0.3034 0.3960 0.9106
O 0.3316 0.7720 0.5362
O 0.6684 0.2280 0.4638
O 0.4120 0.7870 0.8939
O 0.5880 0.2130 0.1061
O 0.1040 0.5894 0.6966
O 0.8960 0.4106 0.3034
O 0.2720 0.0363 0.3316
O 0.7280 0.9637 0.6684
O 0.0894 0.1967 0.1040
O 0.9106 0.8033 0.8960
O 0.2870 0.3939 0.4121
O 0.7130 0.6061 0.5879

## Properties
Final energy: -17.07 eV per atom
Theoretical density: 5.186 g/cm³
Magnetic moment: 0.00 μB per atom

---

What is the magnetic moment in the third record?
0.00 μB per atom

---

Copy entry 4 word for word.
DFT (meta-GGA SCAN) results for Cs2InI6O18 at its PBEsol-relaxed geometry.

Unit cell a=7.7884 b=7.7882 c=7.7881 alpha=97.81 beta=97.81 gamma=97.81
Sites, in units of the cell vectors:
Cs 0.1602 0.6602 0.1602
Cs 0.8398 0.3398 0.8398
In 0.5000 0.0000 0.5000
I 0.6968 0.8395 0.1191
I 0.3032 0.1605 0.8809
I 0.3395 0.6191 0.6968
I 0.6605 0.3809 0.3032
I 0.1191 0.1968 0.3395
I 0.8809 0.8032 0.6605
O 0.5362 0.8317 0.2720
O 0.4638 0.1683 0.7280
O 0.8939 0.9120 0.2870
O 0.1061 0.0880 0.7130
O 0.6966 0.6040 0.0894
O 0.3034 0.3960 0.9106
O 0.3316 0.7720 0.5362
O 0.6684 0.2280 0.4638
O 0.4120 0.7870 0.8939
O 0.5880 0.2130 0.1061
O 0.1040 0.5894 0.6966
O 0.8960 0.4106 0.3034
O 0.2720 0.0363 0.3316
O 0.7280 0.9637 0.6684
O 0.0894 0.1967 0.1040
O 0.9106 0.8033 0.8960
O 0.2870 0.3939 0.4121
O 0.7130 0.6061 0.5879

## Properties
Final energy: -17.07 eV per atom
Theoretical density: 5.186 g/cm³
Magnetic moment: 0.00 μB per atom